1.
Density functional theory data (PBE) for crystalline HoTl2Pd at its relaxed geometry.

The structure belongs to space group R-3m (No. 166, hexagonal axes); the cell edges are 3.4420, 3.4420 and 31.2435 Å and the angles 90.00°, 90.00° and 120.00°. The asymmetric unit holds Ho at (0.0000, 0.0000, 0.0000), Tl at (0.0000, 0.0000, 0.1000) and Pd at (0.0000, 0.0000, 0.5000).

For the calculated volume, the calculation gives 107 Å³/f.u. The formation energy comes out at 0.075 eV/atom.

***

2.
Density functional theory data (PBE) for crystalline HoTl3Pd12 at its relaxed geometry.

The structure belongs to space group P4/mmm (No. 123); the cell edges are 4.083, 4.083 and 16.465 Å and the angles 90.00°, 90.00° and 90.00°. The asymmetric unit holds Ho at (0.000, 0.000, 0.000), Tl at (0.000, 0.000, 0.253), Tl at (0.000, 0.000, 0.500), Pd at (0.000, 0.500, 0.126), Pd at (0.000, 0.500, 0.375), Pd at (0.500, 0.500, 0.000), Pd at (0.500, 0.500, 0.249) and Pd at (0.500, 0.500, 0.500).

For the calculated volume, the calculation gives 274 Å³/f.u. The formation energy comes out at -0.365 eV/atom.

***

3.
Density functional theory data (PBE) for crystalline Ho3Tl2Pd at its relaxed geometry.

The structure belongs to space group P4/mmm (No. 123); the cell edges are 3.572, 3.572 and 11.809 Å and the angles 90.00°, 90.00° and 90.00°. The asymmetric unit holds Ho at (0.000, 0.000, 0.000), Ho at (0.000, 0.000, 0.358), Tl at (0.500, 0.500, 0.177) and Pd at (0.500, 0.500, 0.500).

The offset from the most stable computed form is 0.000 eV/atom. For the calculated volume, the calculation gives 151 Å³/f.u. The formation energy comes out at -0.519 eV/atom.